RbAgPbO3 GGA-PBE optimized geometry; uncorrected energy = -108.70 eV for the cell shown
1.0
-6.9076 -6.9064 3.3880
2.3357 -2.4602 -0.2529
3.6728 2.2463 12.0675
Ag O Pb Rb
4 12 4 4
direct
0.5867 0.5000 0.0363
0.0867 0.0000 0.4637
0.9133 0.5000 0.5363
0.4133 0.0000 0.9637
0.9443 0.5000 0.0823
0.6976 0.0000 0.0909
0.2194 0.0000 0.1106
0.7194 0.5000 0.3894
0.1976 0.5000 0.4091
0.4443 0.0000 0.4177
0.5557 0.5000 0.5823
0.8024 0.0000 0.5909
0.2806 0.0000 0.6106
0.7806 0.5000 0.8894
0.3024 0.5000 0.9091
0.0557 0.0000 0.9177
0.1429 0.5000 0.0207
0.6429 0.0000 0.4793
0.3571 0.5000 0.5207
0.8571 0.0000 0.9793
0.3721 0.5000 0.2430
0.8721 0.0000 0.2570
0.1279 0.5000 0.7430
0.6279 0.0000 0.7570

---

TaCoSiTc GGA-PBE optimized geometry; uncorrected energy = -34.63 eV for the cell shown; magnetic moment = 2.30 μB/f.u.
1.0
2.6463 -2.3562 2.4595
0.7041 1.1264 4.1035
-1.6023 -2.4050 3.2019
Co Si Ta Tc
1 1 1 1
direct
0.7500 0.7500 0.7500
0.0000 0.0000 0.0000
0.2500 0.2500 0.2500
0.5000 0.5000 0.5000

---

PtPbO3 GGA-PBE optimized geometry; uncorrected energy = -111.30 eV for the cell shown; magnetic moment = 0.00 μB/f.u.
1.0
-1.7061 -3.6525 3.8799
2.8944 -4.2376 -2.7164
6.4587 1.6158 4.3613
O Pb Pt
12 4 4
direct
0.6962 0.2988 0.0481
0.8038 0.7988 0.0481
0.0977 0.4640 0.2500
0.4023 0.9640 0.2500
0.6962 0.2988 0.4519
0.8038 0.7988 0.4519
0.1962 0.2012 0.5481
0.3038 0.7012 0.5481
0.5977 0.0360 0.7500
0.9023 0.5360 0.7500
0.1962 0.2012 0.9519
0.3038 0.7012 0.9519
0.9876 0.0494 0.2500
0.5124 0.5494 0.2500
0.4876 0.4506 0.7500
0.0124 0.9506 0.7500
0.5000 0.0000 0.0000
0.0000 0.5000 0.0000
0.5000 0.0000 0.5000
0.0000 0.5000 0.5000